The following is a DFT calculation (PBE) of a geometry-optimized NpNbGaRu structure.

a b c (Å): 4.668 4.668 4.668
angles (deg): 60.00 60.00 60.00
Fractional coordinates of all 4 atoms:
Np1 0.000 0.000 0.000
Nb1 0.750 0.750 0.750
Ga1 0.250 0.250 0.250
Ru1 0.500 0.500 0.500

**DOS at the Fermi energy**: 9.73 states/eV/f.u.
**Electronic total energy**: -8.6138 eV per atom
**ΔE_f**: 214.5 meV per atom